{
  "formula": "LaNd6Tm5",
  "functional": "PBE-GGA",
  "state": "optimized geometry",
  "lattice": [[-2.5640, 5.0622, 7.6681], [2.5640, -5.0622, 7.6681], [2.5640, 5.0622, -7.6681]],
  "species": ["La", "Nd", "Nd", "Nd", "Nd", "Nd", "Nd", "Tm", "Tm", "Tm", "Tm", "Tm"],
  "fractional_positions": [[0.0000, 0.0000, 0.0000], [0.0858, 0.8334, 0.2524], [0.2541, 0.5000, 0.7541], [0.4190, 0.1666, 0.2524], [0.5810, 0.8334, 0.7476], [0.7459, 0.5000, 0.2459], [0.9142, 0.1666, 0.7476], [0.1686, 0.6686, 0.5000], [0.3323, 0.3323, 0.0000], [0.5000, 0.0000, 0.5000], [0.6677, 0.6677, 0.0000], [0.8314, 0.3314, 0.5000]],
  "formation_energy_kcal_per_mol_atoms": 0.5,
  "space_group": "Immm"
}



{
  "formula": "CaCr2Cl",
  "functional": "PBE-GGA",
  "state": "optimized geometry",
  "lattice": [[3.2938, 0.0000, 0.0000], [0.0000, 3.2938, 0.0000], [0.0000, 0.0000, 8.4796]],
  "species": ["Ca", "Cr", "Cr", "Cl"],
  "fractional_positions": [[0.0000, 0.0000, 0.0000], [0.5000, 0.5000, 0.2881], [0.5000, 0.5000, 0.7119], [0.0000, 0.0000, 0.5000]],
  "space_group": "P4/mmm",
  "e_form_raw_ev_per_atom": 0.478,
  "polymorph_energy_ev_per_atom": 0.628
}



{
  "formula": "ZrBr2",
  "functional": "PBE-GGA",
  "state": "optimized geometry",
  "lattice": [[3.5375, 0.0000, 0.0000], [0.0000, 18.0259, 0.0000], [0.0000, 0.0000, 5.3360]],
  "species": ["Zr", "Zr", "Zr", "Zr", "Br", "Br", "Br", "Br", "Br", "Br", "Br", "Br"],
  "fractional_positions": [[0.0000, 0.2072, 0.2500], [0.0000, 0.7928, 0.7500], [0.5000, 0.2928, 0.7500], [0.5000, 0.7072, 0.2500], [0.0000, 0.1711, 0.7500], [0.0000, 0.4096, 0.7500], [0.0000, 0.5904, 0.2500], [0.0000, 0.8289, 0.2500], [0.5000, 0.0904, 0.2500], [0.5000, 0.3289, 0.2500], [0.5000, 0.6711, 0.7500], [0.5000, 0.9096, 0.7500]],
  "space_group": "Cmcm",
  "e_form_raw_ev_per_atom": -1.078
}



{
  "formula": "LaY2Th2",
  "functional": "PBE-GGA",
  "state": "optimized geometry",
  "lattice": [[3.6020, 0.0000, 0.0000], [-1.8010, 3.1194, 0.0000], [0.0000, 0.0000, 14.7649]],
  "species": ["La", "Y", "Y", "Th", "Th"],
  "fractional_positions": [[0.0000, 0.0000, 0.0000], [0.3333, 0.6667, 0.7972], [0.6667, 0.3333, 0.2028], [0.3333, 0.6667, 0.4025], [0.6667, 0.3333, 0.5975]],
  "formation_energy_kcal_per_mol_atoms": 0.8,
  "space_group": "P-3m1",
  "polymorph_energy_ev_per_atom": 0.000
}



{
  "formula": "NaMn2BrCl",
  "functional": "PBE-GGA",
  "state": "optimized geometry",
  "lattice": [[4.6057, 0.0000, 0.0000], [0.0000, 4.6057, 0.0000], [0.0000, 0.0000, 7.0424]],
  "species": ["Na", "Mn", "Mn", "Br", "Cl"],
  "fractional_positions": [[0.0000, 0.0000, 0.0000], [0.0000, 0.5000, 0.5000], [0.5000, 0.0000, 0.5000], [0.5000, 0.5000, 0.5000], [0.5000, 0.5000, 0.0000]],
  "space_group": "P4/mmm",
  "e_form_raw_ev_per_atom": 0.268
}



{
  "formula": "Rb5Sb2F12",
  "functional": "PBE-GGA",
  "state": "optimized geometry",
  "lattice": [[6.9148, -4.0300, 0.0000], [6.9148, 4.0300, 0.0000], [-2.4261, 0.0000, 6.5074]],
  "species": ["Rb", "Rb", "Rb", "Rb", "Rb", "Sb", "Sb", "F", "F", "F", "F", "F", "F", "F", "F", "F", "F", "F", "F"],
  "fractional_positions": [[0.0000, 0.0000, 0.0000], [0.2470, 0.2470, 0.3712], [0.3239, 0.3239, 0.9203], [0.6761, 0.6761, 0.0797], [0.7530, 0.7530, 0.6288], [0.2470, 0.7530, 0.5000], [0.7530, 0.2470, 0.5000], [0.0630, 0.0630, 0.4205], [0.0702, 0.6832, 0.2062], [0.1851, 0.5901, 0.6554], [0.3168, 0.9298, 0.7938], [0.4099, 0.8149, 0.3446], [0.4346, 0.4346, 0.3320], [0.5654, 0.5654, 0.6680], [0.5901, 0.1851, 0.6554], [0.6832, 0.0702, 0.2062], [0.8149, 0.4099, 0.3446], [0.9298, 0.3168, 0.7938], [0.9370, 0.9370, 0.5795]],
  "space_group": "C2/m",
  "e_form_raw_ev_per_atom": -2.493
}



{
  "formula": "BeBIr",
  "functional": "PBE-GGA",
  "state": "optimized geometry",
  "lattice": [[1.7973, 1.0377, 5.6756], [-1.7973, 1.0377, 5.6756], [0.0000, -2.0753, 5.6756]],
  "species": ["Be", "Be", "B", "B", "Ir", "Ir"],
  "fractional_positions": [[0.1319, 0.1319, 0.1319], [0.8681, 0.8681, 0.8681], [0.4090, 0.4090, 0.4090], [0.5910, 0.5910, 0.5910], [0.2748, 0.2748, 0.2748], [0.7252, 0.7252, 0.7252]],
  "formation_energy_kcal_per_mol_atoms": -8.0,
  "space_group": "R-3m",
  "polymorph_energy_ev_per_atom": 0.000
}



{
  "formula": "Rb3TmU3S8",
  "functional": "PBE-GGA",
  "state": "optimized geometry",
  "lattice": [[4.0265, 2.3247, 7.8462], [-4.0265, 2.3247, 7.8462], [0.0000, -4.6494, 7.8462]],
  "species": ["Rb", "Rb", "Rb", "Tm", "U", "U", "U", "S", "S", "S", "S", "S", "S", "S", "S"],
  "fractional_positions": [[0.0000, 0.5000, 0.5000], [0.5000, 0.0000, 0.5000], [0.5000, 0.5000, 0.0000], [0.5000, 0.5000, 0.5000], [0.0000, 0.0000, 0.5000], [0.0000, 0.5000, 0.0000], [0.5000, 0.0000, 0.0000], [0.2308, 0.2308, 0.2308], [0.2318, 0.7275, 0.7275], [0.2725, 0.2725, 0.7682], [0.2725, 0.7682, 0.2725], [0.7275, 0.2318, 0.7275], [0.7275, 0.7275, 0.2318], [0.7682, 0.2725, 0.2725], [0.7692, 0.7692, 0.7692]],
  "space_group": "R-3m",
  "e_form_raw_ev_per_atom": -1.515
}



{
  "formula": "Al2BiW",
  "functional": "PBE-GGA",
  "state": "optimized geometry",
  "lattice": [[7.8572, 0.0000, 0.0000], [0.0000, 7.8572, 0.0000], [0.0000, 0.0000, 5.5849]],
  "species": ["Al", "Al", "Al", "Al", "Al", "Al", "Al", "Al", "Bi", "Bi", "Bi", "Bi", "W", "W", "W", "W"],
  "fractional_positions": [[0.2076, 0.7500, 0.1250], [0.2500, 0.2076, 0.8750], [0.2500, 0.2924, 0.3750], [0.2924, 0.7500, 0.6250], [0.7076, 0.2500, 0.6250], [0.7500, 0.7076, 0.3750], [0.7500, 0.7924, 0.8750], [0.7924, 0.2500, 0.1250], [0.0000, 0.0000, 0.5000], [0.0000, 0.5000, 0.7500], [0.5000, 0.0000, 0.2500], [0.5000, 0.5000, 0.0000], [0.0000, 0.0000, 0.0000], [0.0000, 0.5000, 0.2500], [0.5000, 0.0000, 0.7500], [0.5000, 0.5000, 0.5000]],
  "formation_energy_kcal_per_mol_atoms": 19.5,
  "space_group": "I-42d",
  "polymorph_energy_ev_per_atom": 0.040
}



{
  "formula": "AcTb2Nd6Y",
  "functional": "PBE-GGA",
  "state": "optimized geometry",
  "lattice": [[4.6884, -7.7917, 0.0000], [4.6884, 7.7917, 0.0000], [-1.0868, 0.0000, 9.7825]],
  "species": ["Ac", "Ac", "Tb", "Tb", "Tb", "Tb", "Nd", "Nd", "Nd", "Nd", "Nd", "Nd", "Nd", "Nd", "Nd", "Nd", "Nd", "Nd", "Y", "Y"],
  "fractional_positions": [[0.0262, 0.9738, 0.7500], [0.9738, 0.0262, 0.2500], [0.2029, 0.3124, 0.5459], [0.3124, 0.2029, 0.0459], [0.6876, 0.7971, 0.9541], [0.7971, 0.6876, 0.4541], [0.0130, 0.5577, 0.6832], [0.1235, 0.7516, 0.0539], [0.2484, 0.8765, 0.4461], [0.2909, 0.5064, 0.8807], [0.4423, 0.9870, 0.8168], [0.4936, 0.7091, 0.6193], [0.5064, 0.2909, 0.3807], [0.5577, 0.0130, 0.1832], [0.7091, 0.4936, 0.1193], [0.7516, 0.1235, 0.5539], [0.8765, 0.2484, 0.9461], [0.9870, 0.4423, 0.3168], [0.4110, 0.5890, 0.2500], [0.5890, 0.4110, 0.7500]],
  "formation_energy_kcal_per_mol_atoms": 2.6,
  "space_group": "C2/c"
}



{
  "formula": "MnW2Au",
  "functional": "PBE-GGA",
  "state": "optimized geometry",
  "lattice": [[3.2421, 0.0000, 0.0000], [0.0000, 4.4377, 0.0000], [0.0000, 0.0000, 8.8223]],
  "species": ["Mn", "Mn", "W", "W", "W", "W", "Au", "Au"],
  "fractional_positions": [[0.0000, 0.0000, 0.0000], [0.5000, 0.5000, 0.0000], [0.0000, 0.0000, 0.5200], [0.0000, 0.5000, 0.7701], [0.5000, 0.0000, 0.7701], [0.5000, 0.5000, 0.5200], [0.0000, 0.5000, 0.2509], [0.5000, 0.0000, 0.2509]],
  "formation_energy_kcal_per_mol_atoms": 5.1,
  "space_group": "Cmm2",
  "polymorph_energy_ev_per_atom": 0.000
}



{
  "formula": "ZnSbTe2",
  "functional": "PBE-GGA",
  "state": "optimized geometry",
  "lattice": [[4.0645, 0.0000, 0.0000], [0.0000, 7.1347, 0.0000], [0.0000, 0.0000, 8.2211]],
  "species": ["Zn", "Zn", "Sb", "Sb", "Te", "Te", "Te", "Te"],
  "fractional_positions": [[0.0000, 0.0000, 0.0000], [0.5000, 0.5000, 0.0000], [0.0000, 0.0000, 0.5000], [0.5000, 0.5000, 0.5000], [0.0000, 0.5000, 0.2259], [0.0000, 0.5000, 0.7741], [0.5000, 0.0000, 0.2259], [0.5000, 0.0000, 0.7741]],
  "space_group": "Cmmm",
  "e_form_raw_ev_per_atom": 0.161,
  "polymorph_energy_ev_per_atom": 0.259
}